Entry from the Alexandria database: a relaxed AcEr2CrO8 crystal (PBE with a Hubbard U).

```
12
Lattice="5.0567 0.0000 0.0000 -2.5284 4.3793 0.0000 0.0000 0.0000 6.9500" Properties=species:S:1:pos:R:3 pbc="T T T"
Ac 0.0000 0.0000 3.4750
O 0.0000 2.9195 3.9491
O -1.2608 3.6474 1.0784
O 2.5284 1.4598 3.0009
O 1.2608 3.6474 1.0784
O 0.0000 1.4637 1.0784
O 2.5284 2.9156 5.8715
O 1.2676 0.7318 5.8715
O 3.7891 0.7318 5.8715
Er 2.5284 1.4598 0.9148
Er 0.0000 2.9195 6.0352
Cr 0.0000 0.0000 0.0000
```

M_tot   1.0 μB per formula unit
DOS(E_F)   9.0 states/eV per cell
Space-group type   P-3m1
Raw total energy   -87.14 eV per formula unit
Crystal system   trigonal